# TbSmSc3

TbSmSc3 after structural relaxation (PBE-GGA, the Alexandria database).

```
TbSmSc3
1.0
5.3913 0.0032 -0.0045
-0.0020 5.7290 1.6368
0.0072 0.4058 9.1209
Sc Sm Tb
6 2 2
Direct
0.1834 0.9061 0.5972
0.6834 0.3505 0.0127
0.1834 0.0901 0.2060
0.6834 0.9543 0.8092
0.1834 0.5098 0.3937
0.6834 0.7702 0.2004
0.6834 0.5709 0.6004
0.1834 0.2895 0.8060
0.6834 0.1692 0.3999
0.1834 0.6912 0.0065
```

Values from the calculation:
- Formation energy from the elements: 17.2 kJ/mol of formula units
- Raw total energy: -0.2070 Ha/atom
- Fermi-level density of states: 1.72 states/eV per atom
- Crystal system: monoclinic
- Total magnetization: 0.0 μB/cell
- Symmetry: P2_1/m
- Energy above the lowest structure with this stoichiometry: 0 meV/atom

***

# Tb4SmSc7

Tb4SmSc7 after structural relaxation (PBE-GGA, the Alexandria database).

```
Tb4SmSc7
1.0
-4.2762 2.0383 -2.9293
-6.7628 -8.7380 -1.5028
-4.8156 2.3833 3.3932
Sc Tb Sm
7 4 1
Direct
0.5000 0.0000 0.0000
0.7900 0.9188 0.5012
0.6406 0.4865 0.2324
0.3594 0.5135 0.7676
0.2100 0.0812 0.4988
0.0417 0.6308 0.2857
0.9583 0.3692 0.7143
0.2816 0.3045 0.1323
0.7184 0.6955 0.8677
0.3659 0.7754 0.4929
0.6341 0.2246 0.5071
0.0000 0.0000 0.0000
```

Values from the calculation:
- Formation energy from the elements: 309.5 kJ/mol of formula units
- Raw total energy: -0.1971 Ha/atom
- Fermi-level density of states: 1.97 states/eV per atom
- Crystal system: monoclinic
- Total magnetization: 0.1 μB/cell
- Symmetry: C2/m